#a
Crystalline Mg3Ga2Rh at its relaxed geometry, computed with PBE.

Computed properties:
The calculation puts the volume at 18.279 Å³ per atom.

Structure (POSCAR):
```
Mg3Ga2Rh
1.0
3.220 0.002 -0.933
-0.341 4.191 -1.187
0.554 0.035 7.957
Mg Ga Rh
3 2 1
Direct
0.500 0.500 0.000
0.815 0.315 0.631
0.185 0.685 0.369
0.371 0.872 0.742
0.629 0.128 0.258
0.000 0.000 0.000
```

#b
Crystalline Mg3Ga2Rh at its relaxed geometry, computed with PBE.

Computed properties:
The calculation puts the volume at 18.749 Å³ per atom.

Structure (POSCAR):
```
Mg3Ga2Rh
1.0
5.638 0.000 0.000
0.000 5.872 0.000
-2.819 -2.936 6.795
Mg Ga Rh
6 4 2
Direct
0.427 0.670 0.341
0.573 0.330 0.659
0.086 0.830 0.659
0.914 0.170 0.341
0.500 0.750 0.000
0.500 0.250 0.000
0.346 0.127 0.253
0.654 0.873 0.747
0.093 0.373 0.747
0.907 0.627 0.253
0.000 0.250 0.000
0.000 0.750 0.000
```

The most stable of them is #a.

#a
Crystalline Mg3Ga4Rh4 at its relaxed geometry, computed with PBE.

Computed properties:
The calculation puts the volume at 19.168 Å³ per atom.

Structure (POSCAR):
```
Mg3Ga4Rh4
1.0
6.494 0.000 0.000
-2.165 6.123 0.000
-2.165 -3.061 5.303
Mg Ga Rh
3 4 4
Direct
0.500 0.500 0.000
0.500 0.000 0.500
0.000 0.500 0.500
0.000 0.373 0.000
0.000 0.000 0.373
0.373 0.000 0.000
0.627 0.627 0.627
0.000 0.732 0.000
0.732 0.000 0.000
0.000 0.000 0.732
0.268 0.268 0.268
```

#b
Crystalline Mg3Ga4Rh4 at its relaxed geometry, computed with PBE.

Computed properties:
The calculation puts the volume at 16.267 Å³ per atom.

Structure (POSCAR):
```
Mg3Ga4Rh4
1.0
2.965 0.000 -0.684
-0.705 7.270 -3.055
0.403 -0.693 8.516
Mg Ga Rh
3 4 4
Direct
0.901 0.901 0.802
0.099 0.099 0.198
0.000 0.500 0.000
0.661 0.463 0.321
0.339 0.142 0.679
0.339 0.537 0.679
0.661 0.858 0.321
0.750 0.250 0.501
0.250 0.750 0.499
0.500 0.785 0.000
0.500 0.215 0.000
```

The most stable of them is #b.